Pr2DyHo2Th2: relaxed, PBE-GGA.

Output
Its electronic total energy is -73.9 eV per cell. The value obtained for the formation energy is 17 kJ per mole of atoms.

Lattice parameters (Å, degrees): 17.811 3.487 8.561 90.00 117.69 90.00
Space group C2/m (No. 12)
Inequivalent atoms, fractional coordinates:
Pr (0.144, 0.000, 0.370) [4 per cell]
Dy (0.000, 0.500, 0.500) [2 per cell]
Ho (0.210, 0.500, 0.801) [4 per cell]
Th (0.066, 0.000, 0.905) [4 per cell]